Crystalline LiLaMg2Ga4 at its relaxed geometry, computed with PBE.

Values from the calculation:
Raw total energy = -0.228 Ry/atom
V = 20.66 Å³ per atom
Crystal system = trigonal
E_form = -262 kJ/mol of formula units

Cell lengths 9.1495, 9.1495, 9.1495 Å; angles 29.59, 29.59, 29.59 degrees
Closest atoms and distances in Å follow each position.
Sites, in units of the cell vectors:
Li1 0.0000 0.0000 0.0000  8 Ga 2.75-2.87
La1 0.5000 0.5000 0.5000  8 Ga 3.15-3.39
Mg1 0.2590 0.2590 0.2590  7 Ga 2.81-2.93
Mg2 0.7410 0.7410 0.7410  7 Ga 2.81-2.93
Ga1 0.1047 0.1047 0.1047  1 Li 2.75, 3 Mg 2.81
Ga2 0.3707 0.3707 0.3707  4 Mg 2.87-2.93, 3 Li 2.87
Ga3 0.6293 0.6293 0.6293  4 Mg 2.87-2.93, 3 Li 2.87
Ga4 0.8953 0.8953 0.8953  1 Li 2.75, 3 Mg 2.81

Crystalline Mn3AlH at its relaxed geometry, computed with PBE.

Values from the calculation:
Raw total energy = -0.506 Ry/atom
V = 9.95 Å³ per atom
Crystal system = trigonal

Cell lengths 4.6347, 4.6347, 4.6347 Å; angles 90.70, 90.70, 90.70 degrees
Closest atoms and distances in Å follow each position.
Sites, in units of the cell vectors:
Mn1 0.0095 0.7500 0.4905  1 H 1.71
Mn2 0.2500 0.5095 0.9905  1 H 1.71
Mn3 0.4905 0.0095 0.7500  1 H 1.71
Mn4 0.5095 0.9905 0.2500  1 H 1.71
Mn5 0.7500 0.4905 0.0095  1 H 1.71
Mn6 0.9905 0.2500 0.5095  1 H 1.71
Al1 0.0000 0.0000 0.0000  2 H 1.98
Al2 0.5000 0.5000 0.5000  2 H 1.98
H1 0.2500 0.2500 0.2500  3 Mn 1.71
H2 0.7500 0.7500 0.7500  3 Mn 1.71

Crystalline AgPbBrF2 at its relaxed geometry, computed with PBE.

Values from the calculation:
Raw total energy = -0.286 Ry/atom
V = 21.11 Å³ per atom
Crystal system = monoclinic
Uncorrected formation energy = -1.4930 eV/atom

Cell lengths 6.7035, 4.0595, 8.4307 Å; angles 90.00, 113.04, 90.00 degrees
Closest atoms and distances in Å follow each position.
Sites, in units of the cell vectors:
Ag1 0.0847 0.2500 0.1366  1 F 2.48, 3 Br 2.70-2.78
Ag2 0.9153 0.7500 0.8634  1 F 2.48, 3 Br 2.70-2.78
Pb1 0.2833 0.7500 0.5953  3 F 2.34-2.48
Pb2 0.7167 0.2500 0.4047  3 F 2.34-2.48
Br1 0.3348 0.7500 0.0842  3 Ag 2.70-2.78
Br2 0.6652 0.2500 0.9158  3 Ag 2.70-2.78
F1 0.0510 0.2500 0.6394  1 Pb 2.34
F2 0.3314 0.2500 0.4457  3 Pb 2.48-2.74, 1 Ag 2.48
F3 0.6686 0.7500 0.5543  3 Pb 2.48-2.74, 1 Ag 2.48
F4 0.9490 0.7500 0.3606  1 Pb 2.34

Crystalline TmMgSnIr at its relaxed geometry, computed with PBE.

Values from the calculation:
Raw total energy = -0.385 Ry/atom
V = 19.21 Å³ per atom
Crystal system = cubic
E_form = -193 kJ/mol of formula units

Cell lengths 4.7723, 4.7723, 4.7723 Å; angles 60.00, 60.00, 60.00 degrees
Closest atoms and distances in Å follow each position.
Sites, in units of the cell vectors:
Tm1 0.0000 0.0000 0.0000  4 Mg 2.92, 4 Ir 2.92
Mg1 0.2500 0.2500 0.2500  4 Sn 2.92, 4 Tm 2.92
Sn1 0.5000 0.5000 0.5000  4 Mg 2.92, 4 Ir 2.92
Ir1 0.7500 0.7500 0.7500  4 Sn 2.92, 4 Tm 2.92

Crystalline TbFeI at its relaxed geometry, computed with PBE.

Values from the calculation:
Raw total energy = -0.410 Ry/atom
V = 28.22 Å³ per atom
Crystal system = monoclinic
Uncorrected formation energy = -0.6966 eV/atom

Cell lengths 3.9774, 3.9774, 12.5796 Å; angles 99.29, 99.29, 60.00 degrees
Closest atoms and distances in Å follow each position.
Sites, in units of the cell vectors:
Tb1 0.0000 0.0000 0.0000  6 Fe 3.00-3.01, 3 I 3.16
Tb2 0.1068 0.1068 0.3136  6 Fe 3.00, 3 I 3.16
Fe1 0.3866 0.3866 0.1569  3 Fe 2.30
Fe2 0.7200 0.7200 0.1569  3 Fe 2.30
I1 0.2737 0.2737 0.8245  3 Tb 3.16
I2 0.4999 0.4999 0.4890  3 Tb 3.16

Crystalline Cs2SbI2F4 at its relaxed geometry, computed with PBE.

Values from the calculation:
Raw total energy = -0.280 Ry/atom
V = 30.62 Å³ per atom
Crystal system = tetragonal
Uncorrected formation energy = -1.9825 eV/atom

Cell lengths 7.1510, 7.1510, 7.1510 Å; angles 114.52, 114.52, 99.79 degrees
Closest atoms and distances in Å follow each position.
Sites, in units of the cell vectors:
Cs1 0.2500 0.7500 0.5000  8 F 3.63, 4 I 3.92
Cs2 0.7500 0.2500 0.5000  8 F 3.63, 4 I 3.92
Sb1 0.0000 0.0000 0.0000  4 F 2.09
I1 0.3182 0.3182 0.0000  1 Sb 2.93
I2 0.6818 0.6818 0.0000  1 Sb 2.93
F1 0.1907 0.1907 0.3815  1 Sb 2.09
F2 0.1907 0.8093 0.0000  1 Sb 2.09
F3 0.8093 0.1907 0.0000  1 Sb 2.09
F4 0.8093 0.8093 0.6185  1 Sb 2.09

Crystalline TaVSiTc at its relaxed geometry, computed with PBE.

Values from the calculation:
Raw total energy = -0.700 Ry/atom
V = 14.70 Å³ per atom
Crystal system = cubic
Uncorrected formation energy = -0.3339 eV/atom

Cell lengths 4.3650, 4.3650, 4.3650 Å; angles 60.00, 60.00, 60.00 degrees
Closest atoms and distances in Å follow each position.
Sites, in units of the cell vectors:
Ta1 0.0000 0.0000 0.0000  4 V 2.67, 4 Tc 2.67
V1 0.7500 0.7500 0.7500  4 Ta 2.67, 4 Si 2.67
Si1 0.5000 0.5000 0.5000  4 V 2.67, 4 Tc 2.67
Tc1 0.2500 0.2500 0.2500  4 Ta 2.67, 4 Si 2.67

Crystalline Ac3InSn at its relaxed geometry, computed with PBE.

Values from the calculation:
Raw total energy = -0.309 Ry/atom
V = 41.00 Å³ per atom
Crystal system = orthorhombic
E_form = -190 kJ/mol of formula units
E above lowest polymorph = 0.392 eV/f.u.

Cell lengths 5.1124, 7.9994, 10.0243 Å; angles 90.00, 90.00, 90.00 degrees
Closest atoms and distances in Å follow each position.
Sites, in units of the cell vectors:
Ac1 0.2500 0.0130 0.1799  3 Sn 3.40, 2 In 3.58, 1 Ac 3.79
Ac2 0.2500 0.2500 0.5620  2 In 3.37, 1 Sn 3.37
Ac3 0.2500 0.4870 0.1799  3 Sn 3.40, 2 In 3.58, 1 Ac 3.79
Ac4 0.7500 0.5130 0.8201  3 Sn 3.40, 2 In 3.58, 1 Ac 3.79
Ac5 0.7500 0.7500 0.4380  2 In 3.37, 1 Sn 3.37
Ac6 0.7500 0.9870 0.8201  3 Sn 3.40, 2 In 3.58, 1 Ac 3.79
In1 0.2500 0.7500 0.6570  6 Ac 3.37-3.58
In2 0.7500 0.2500 0.3430  6 Ac 3.37-3.58
Sn1 0.2500 0.2500 0.8983  7 Ac 3.37-3.40
Sn2 0.7500 0.7500 0.1017  7 Ac 3.37-3.40

Crystalline Ba2MoOs at its relaxed geometry, computed with PBE.

Values from the calculation:
Raw total energy = -0.433 Ry/atom
V = 31.33 Å³ per atom
Crystal system = monoclinic
E_form = 224 kJ/mol of formula units
E above lowest polymorph = 0.926 eV/f.u.

Cell lengths 3.4836, 3.6228, 10.0722 Å; angles 90.00, 99.66, 90.00 degrees
Closest atoms and distances in Å follow each position.
Sites, in units of the cell vectors:
Ba1 0.0000 0.0000 0.0000  1 Os 3.26, 4 Ba 3.48-3.62
Ba2 0.2196 0.5000 0.4030  1 Mo 3.19, 2 Ba 3.48
Mo1 0.3606 0.5000 0.7246  4 Os 2.56-2.57
Os1 0.8336 0.0000 0.6718  4 Mo 2.56-2.57

Crystalline GaSiNi2 at its relaxed geometry, computed with PBE.

Values from the calculation:
Raw total energy = -0.391 Ry/atom
V = 13.26 Å³ per atom
Crystal system = trigonal
Uncorrected formation energy = -0.3134 eV/atom

Cell lengths 4.7916, 4.7916, 4.7916 Å; angles 46.59, 46.59, 46.59 degrees
Closest atoms and distances in Å follow each position.
Sites, in units of the cell vectors:
Ga1 0.0000 0.0000 0.0000  1 Si 2.46, 7 Ni 2.47-2.73
Si1 0.1927 0.1927 0.1927  6 Ni 2.28-2.38, 1 Ga 2.46
Ni1 0.5765 0.5765 0.5765  3 Si 2.28, 3 Ga 2.47
Ni2 0.7864 0.7864 0.7864  3 Si 2.38

Crystalline NbV2Ru2 at its relaxed geometry, computed with PBE.

Values from the calculation:
Raw total energy = -0.698 Ry/atom
V = 14.81 Å³ per atom
Crystal system = tetragonal
E_form = -60 kJ/mol of formula units
E above lowest polymorph = 0.000 eV/f.u.

Cell lengths 7.2016, 7.2016, 2.8555 Å; angles 90.00, 90.00, 90.00 degrees
Closest atoms and distances in Å follow each position.
Sites, in units of the cell vectors:
Nb1 0.0000 0.0000 0.0000  4 V 2.75, 2 Nb 2.86
Nb2 0.5000 0.5000 0.0000  4 V 2.75, 2 Nb 2.86
V1 0.1488 0.3512 0.0000  6 Ru 2.49-2.59, 2 Nb 2.75
V2 0.3512 0.8512 0.0000  6 Ru 2.49-2.59, 2 Nb 2.75
V3 0.6488 0.1488 0.0000  6 Ru 2.49-2.59, 2 Nb 2.75
V4 0.8512 0.6488 0.0000  6 Ru 2.49-2.59, 2 Nb 2.75
Ru1 0.1510 0.6510 0.5000  6 V 2.49-2.59
Ru2 0.3490 0.1510 0.5000  6 V 2.49-2.59
Ru3 0.6510 0.8490 0.5000  6 V 2.49-2.59
Ru4 0.8490 0.3490 0.5000  6 V 2.49-2.59

Crystalline DyHoMgAu at its relaxed geometry, computed with PBE.

Values from the calculation:
Raw total energy = -0.288 Ry/atom
V = 24.59 Å³ per atom
Crystal system = cubic
E_form = -159 kJ/mol of formula units
E above lowest polymorph = 0.233 eV/f.u.

Cell lengths 5.1812, 5.1812, 5.1812 Å; angles 60.00, 60.00, 60.00 degrees
Closest atoms and distances in Å follow each position.
Sites, in units of the cell vectors:
Dy1 0.0000 0.0000 0.0000  4 Mg 3.17, 4 Au 3.17
Ho1 0.5000 0.5000 0.5000  4 Mg 3.17, 4 Au 3.17
Mg1 0.7500 0.7500 0.7500  4 Dy 3.17, 4 Ho 3.17
Au1 0.2500 0.2500 0.2500  4 Dy 3.17, 4 Ho 3.17

Copy entry 7 word for word.
Crystalline TaVSiTc at its relaxed geometry, computed with PBE.

Values from the calculation:
Raw total energy = -0.700 Ry/atom
V = 14.70 Å³ per atom
Crystal system = cubic
Uncorrected formation energy = -0.3339 eV/atom

Cell lengths 4.3650, 4.3650, 4.3650 Å; angles 60.00, 60.00, 60.00 degrees
Closest atoms and distances in Å follow each position.
Sites, in units of the cell vectors:
Ta1 0.0000 0.0000 0.0000  4 V 2.67, 4 Tc 2.67
V1 0.7500 0.7500 0.7500  4 Ta 2.67, 4 Si 2.67
Si1 0.5000 0.5000 0.5000  4 V 2.67, 4 Tc 2.67
Tc1 0.2500 0.2500 0.2500  4 Ta 2.67, 4 Si 2.67

Among the records above, which one has the highest V?
Ac3InSn

Look up the raw total energy of the seventh one.
-0.700 Ry/atom

The lowest raw total energy belongs to which entry?
TaVSiTc